[1]
Computed, not measured: a crystal of TlSnAs relaxed with PBEsol at the meta-GGA SCAN level of DFT.

Structure (extended XYZ):
```
3
Lattice="-2.505 -2.017 2.360 0.944 -0.645 3.822 -3.263 4.346 3.621" Properties=species:S:1:pos:R:3 pbc="T T T"
As -2.096 -1.641 6.486
Tl -3.863 1.731 7.492
Sn -2.216 0.469 4.790
```

Results
As for the theoretical density: 7848 kg/m³. Its space group is No. 160. For the size of the total moment, the calculation gives 0.000 μB/atom.

---

[2]
Computed, not measured: a crystal of Zn3SnAs relaxed with PBEsol at the meta-GGA SCAN level of DFT.

Structure (extended XYZ):
```
5
Lattice="-1.622 -2.006 -4.279 4.541 -1.915 -0.823 -1.310 -4.156 2.445" Properties=species:S:1:pos:R:3 pbc="T T T"
Zn 2.270 -0.958 -0.412
Zn -0.655 -2.078 1.223
Zn -0.811 -1.003 -2.139
As 0.805 -4.039 -1.328
Sn 0.000 0.000 0.000
```

Results
As for the theoretical density: 5190 kg/m³. Its space group is No. 221. For the size of the total moment, the calculation gives 0.286 μB/atom.

---

DFT formation energy per entry: -0.0353, 0.7686 eV per atom